Record 1
! Ac4TlCo PBE optimized geometry; values from VASP
&SYSTEM
  ibrav = 0, nat = 12, ntyp = 3
/
ATOMIC_SPECIES
Ac 227.00 Ac.upf
Co 58.93 Co.upf
Tl 204.38 Tl.upf
CELL_PARAMETERS angstrom
5.770 0.057 0.000
-2.950 7.444 0.000
0.000 0.000 11.037
ATOMIC_POSITIONS crystal
Ac 0.631 0.763 0.750
Ac 0.148 0.798 0.004
Ac 0.640 0.783 0.250
Ac 0.148 0.798 0.496
Ac 0.852 0.202 0.996
Ac 0.852 0.202 0.504
Ac 0.369 0.237 0.250
Ac 0.360 0.217 0.750
Co 0.821 0.138 0.750
Co 0.179 0.862 0.250
Tl 0.996 0.493 0.250
Tl 0.004 0.507 0.750
! * total DFT energy (no corrections): -4.31 eV per atom
! * DFT formation energy: 0.0038 eV/atom
! * magnetic moment: 0.00 μB per atom
! * offset from the most stable computed form: 0.1072 eV/atom



Record 2
! NiRhBr PBE optimized geometry; values from VASP
&SYSTEM
  ibrav = 0, nat = 3, ntyp = 3
/
ATOMIC_SPECIES
Rh 102.91 Rh.upf
Ni 58.69 Ni.upf
Br 79.90 Br.upf
CELL_PARAMETERS angstrom
4.256 0.000 0.000
2.128 3.686 0.000
2.128 1.229 3.475
ATOMIC_POSITIONS crystal
Rh 0.250 0.250 0.250
Ni 0.500 0.500 0.500
Br 0.000 0.000 0.000
! * total DFT energy (no corrections): -4.32 eV per atom
! * E_form (uncorrected): 59.3 kJ per mole of atoms
! * magnetic moment: 0.68 μB per atom
! * offset from the most stable computed form: 0.1544 eV/atom



Record 3
! NaAgGe2 PBE optimized geometry; values from VASP
&SYSTEM
  ibrav = 0, nat = 4, ntyp = 3
/
ATOMIC_SPECIES
Na 22.99 Na.upf
Ag 107.87 Ag.upf
Ge 72.64 Ge.upf
CELL_PARAMETERS angstrom
2.990 -2.719 -2.559
0.734 -4.563 1.234
-1.722 -3.525 -2.738
ATOMIC_POSITIONS crystal
Na 0.000 0.000 0.000
Ag 0.500 0.500 0.500
Ge 0.750 0.750 0.750
Ge 0.250 0.250 0.250
! * total DFT energy (no corrections): -3.22 eV per atom
! * DFT formation energy: 0.1328 eV/atom
! * magnetic moment: 0.00 μB per atom



Record 4
! Na6Pd2Au PBE optimized geometry; values from VASP
&SYSTEM
  ibrav = 0, nat = 9, ntyp = 3
/
ATOMIC_SPECIES
Na 22.99 Na.upf
Pd 106.42 Pd.upf
Au 196.97 Au.upf
CELL_PARAMETERS angstrom
-0.587 -3.065 3.939
-3.283 -3.798 -0.238
5.841 -8.228 -2.327
ATOMIC_POSITIONS crystal
Na 0.300 0.300 0.100
Na 0.191 0.191 0.426
Na 0.580 0.580 0.261
Na 0.420 0.420 0.739
Na 0.700 0.700 0.900
Na 0.809 0.809 0.574
Pd 0.090 0.090 0.730
Pd 0.910 0.910 0.270
Au 0.000 0.000 0.000
! * total DFT energy (no corrections): -2.53 eV per atom
! * DFT formation energy: -0.1292 eV/atom
! * magnetic moment: 0.00 μB per atom



Number 1: D(E_F) 13.6 states/eV/cell. Number 2: D(E_F) 1.8 states/eV/cell. Number 3: D(E_F) 0.8 states/eV/cell. Number 4: D(E_F) 2.4 states/eV/cell.